Entry 1:
The following is a PBE calculation of crystalline Zn4Ag3Pt2 at its relaxed geometry, from Alexandria.

Output
The value obtained for the formation energy from the elements is -0.246 eV/atom. As for the volume: 141 Å³/cell. The uncorrected energy comes out at -3.11 eV/atom.

a = 4.1015 Å, b = 4.6152 Å, c = 8.4467 Å
α = 80.22°, β = 90.00°, γ = 63.62°
Closest atoms and distances in Å follow each position.
Element x y z (fractional)
1 Pt 0.6654 0.6693 0.2110  7 Zn 2.70-2.77, 5 Ag 2.89-3.01
2 Zn 0.3336 0.3328 0.1102  4 Pt 2.70-2.71, 4 Ag 2.73-2.74, 4 Zn 2.92-2.93
3 Ag 0.0000 0.0000 0.0000  8 Zn 2.73-2.75, 4 Pt 2.89
4 Pt 0.3346 0.3307 0.7890  7 Zn 2.70-2.77, 5 Ag 2.89-3.01
5 Zn 0.9981 0.0038 0.6737  6 Ag 2.72-3.03, 3 Pt 2.74-2.77, 3 Zn 2.92-2.94
6 Ag 0.6668 0.6663 0.5672  6 Zn 2.72-3.03, 3 Ag 2.78-2.82, 3 Pt 2.94-3.01
7 Zn 0.6664 0.6672 0.8898  4 Pt 2.70-2.71, 4 Ag 2.73-2.74, 4 Zn 2.92-2.93
8 Ag 0.3332 0.3337 0.4328  6 Zn 2.72-3.03, 3 Ag 2.78-2.82, 3 Pt 2.94-3.01
9 Zn 0.0019 0.9962 0.3263  6 Ag 2.72-3.03, 3 Pt 2.74-2.77, 3 Zn 2.92-2.94

***

Entry 2:
The following is a PBE calculation of crystalline ZnAgPt at its relaxed geometry, from Alexandria.

Output
The value obtained for the formation energy from the elements is -0.069 eV/atom. As for the volume: 53 Å³/cell. The polymorph energy (0 for the lowest one) comes out at 172.6 meV per atom. The uncorrected energy comes out at -3.46 eV/atom.

a = 4.2223 Å, b = 4.2223 Å, c = 4.2223 Å
α = 60.00°, β = 60.00°, γ = 60.00°
Closest atoms and distances in Å follow each position.
Element x y z (fractional)
1 Ag 0.0000 0.0000 0.0000  4 Zn 2.59
2 Pt 0.5000 0.5000 0.5000  4 Zn 2.59
3 Zn 0.2500 0.2500 0.2500  4 Pt 2.59, 4 Ag 2.59

***

Entry 3:
The following is a PBE calculation of crystalline ZnAgPt at its relaxed geometry, from Alexandria.

Output
The value obtained for the formation energy from the elements is -0.205 eV/atom. As for the volume: 48 Å³/cell. The polymorph energy (0 for the lowest one) comes out at 36.2 meV per atom. The uncorrected energy comes out at -3.59 eV/atom.

a = 4.4063 Å, b = 4.4063 Å, c = 2.8503 Å
α = 90.00°, β = 90.00°, γ = 120.00°
Closest atoms and distances in Å follow each position.
Element x y z (fractional)
1 Ag 0.0000 0.0000 0.9686  3 Zn 2.74, 6 Pt 2.85-2.99, 2 Ag 2.85
2 Zn 0.3333 0.6667 0.6125  3 Pt 2.60, 3 Ag 2.74, 2 Zn 2.85
3 Pt 0.6667 0.3333 0.4190  3 Zn 2.60, 3 Ag 2.85, 2 Pt 2.85

***

Entry 4:
The following is a PBE calculation of crystalline Zn3AgPt12 at its relaxed geometry, from Alexandria.

Output
The value obtained for the formation energy from the elements is -0.247 eV/atom. As for the volume: 246 Å³/cell. The uncorrected energy comes out at -5.19 eV/atom.

a = 3.9513 Å, b = 3.9513 Å, c = 15.7653 Å
α = 90.00°, β = 90.00°, γ = 90.00°
Closest atoms and distances in Å follow each position.
Element x y z (fractional)
1 Pt 0.0000 0.5000 0.1301  8 Pt 2.77-2.85, 2 Zn 2.77, 2 Ag 2.85
2 Pt 0.5000 0.5000 0.0000  4 Ag 2.79, 8 Pt 2.85
3 Zn 0.0000 0.0000 0.5000  12 Pt 2.78-2.79
4 Pt 0.5000 0.5000 0.2528  8 Pt 2.77, 4 Zn 2.79
5 Pt 0.0000 0.5000 0.6236  4 Zn 2.77-2.78, 8 Pt 2.77-2.79
6 Pt 0.0000 0.5000 0.8699  8 Pt 2.77-2.85, 2 Zn 2.77, 2 Ag 2.85
7 Pt 0.5000 0.0000 0.8699  8 Pt 2.77-2.85, 2 Zn 2.77, 2 Ag 2.85
8 Pt 0.5000 0.5000 0.7472  8 Pt 2.77, 4 Zn 2.79
9 Ag 0.0000 0.0000 0.0000  12 Pt 2.79-2.85
10 Pt 0.5000 0.5000 0.5000  8 Pt 2.78, 4 Zn 2.79
11 Zn 0.0000 0.0000 0.7471  12 Pt 2.77-2.79
12 Zn 0.0000 0.0000 0.2529  12 Pt 2.77-2.79
13 Pt 0.5000 0.0000 0.1301  8 Pt 2.77-2.85, 2 Zn 2.77, 2 Ag 2.85
14 Pt 0.5000 0.0000 0.6236  4 Zn 2.77-2.78, 8 Pt 2.77-2.79
15 Pt 0.0000 0.5000 0.3764  4 Zn 2.77-2.78, 8 Pt 2.77-2.79
16 Pt 0.5000 0.0000 0.3764  4 Zn 2.77-2.78, 8 Pt 2.77-2.79

***

Entry 5:
The following is a PBE calculation of crystalline ZnAg2Pt5 at its relaxed geometry, from Alexandria.

Output
The value obtained for the formation energy from the elements is -0.146 eV/atom. As for the volume: 127 Å³/cell. The uncorrected energy comes out at -4.79 eV/atom.

a = 4.0050 Å, b = 4.0050 Å, c = 8.4180 Å
α = 103.76°, β = 103.76°, γ = 90.00°
Closest atoms and distances in Å follow each position.
Element x y z (fractional)
1 Pt 0.5000 0.5000 0.0000  8 Pt 2.74, 4 Zn 2.83
2 Ag 0.2499 0.2499 0.4999  4 Ag 2.83, 8 Pt 2.90
3 Ag 0.7501 0.7501 0.5001  4 Ag 2.83, 8 Pt 2.90
4 Pt 0.8825 0.3825 0.7650  2 Zn 2.74, 6 Pt 2.74-2.83, 4 Ag 2.90
5 Pt 0.1175 0.6175 0.2350  2 Zn 2.74, 6 Pt 2.74-2.83, 4 Ag 2.90
6 Pt 0.3825 0.8825 0.7650  6 Pt 2.74-2.83, 2 Zn 2.74, 4 Ag 2.90
7 Pt 0.6175 0.1175 0.2350  6 Pt 2.74-2.83, 2 Zn 2.74, 4 Ag 2.90
8 Zn 0.0000 0.0000 0.0000  12 Pt 2.74-2.83

***

Entry 6:
The following is a PBE calculation of crystalline ZnAgPt at its relaxed geometry, from Alexandria.

Output
The value obtained for the formation energy from the elements is -0.242 eV/atom. As for the volume: 47 Å³/cell. The polymorph energy (0 for the lowest one) comes out at 0.0 meV per atom. The uncorrected energy comes out at -3.63 eV/atom.

a = 5.6966 Å, b = 5.6968 Å, c = 2.9890 Å
α = 74.79°, β = 74.79°, γ = 30.42°
Closest atoms and distances in Å follow each position.
Element x y z (fractional)
1 Ag 0.0061 0.0060 0.9939  4 Zn 2.77, 4 Pt 2.90, 4 Ag 2.99
2 Zn 0.6752 0.6753 0.3248  4 Pt 2.60, 4 Ag 2.77
3 Pt 0.3187 0.3187 0.6813  4 Zn 2.60, 4 Ag 2.90

***

Entry 7:
The following is a PBE calculation of crystalline ZnAgPt4 at its relaxed geometry, from Alexandria.

Output
The value obtained for the formation energy from the elements is 0.007 eV/atom. As for the volume: 104 Å³/cell. The uncorrected energy comes out at -4.71 eV/atom.

a = 5.2809 Å, b = 5.2809 Å, c = 5.2809 Å
α = 60.00°, β = 60.00°, γ = 60.00°
Closest atoms and distances in Å follow each position.
Element x y z (fractional)
1 Pt 0.3751 0.3751 0.3751  6 Pt 2.64
2 Pt 0.3751 0.3751 0.8748  6 Pt 2.64
3 Ag 0.0000 0.0000 0.0000  12 Pt 3.10, 4 Zn 3.23
4 Pt 0.8748 0.3751 0.3751  6 Pt 2.64
5 Pt 0.3751 0.8748 0.3751  6 Pt 2.64
6 Zn 0.7500 0.7500 0.7500  12 Pt 3.10, 4 Ag 3.23

***

Entry 8:
The following is a PBE calculation of crystalline Zn3AgPt2 at its relaxed geometry, from Alexandria.

Output
The value obtained for the formation energy from the elements is -0.395 eV/atom. As for the volume: 91 Å³/cell. The uncorrected energy comes out at -3.52 eV/atom.

a = 2.8873 Å, b = 2.8873 Å, c = 10.9318 Å
α = 90.00°, β = 90.00°, γ = 90.00°
Closest atoms and distances in Å follow each position.
Element x y z (fractional)
1 Ag 0.5000 0.5000 0.5000  8 Zn 2.84, 4 Ag 2.89
2 Zn 0.0000 0.0000 0.3188  4 Pt 2.67, 4 Ag 2.84, 4 Zn 2.89
3 Zn 0.0000 0.0000 0.6812  4 Pt 2.67, 4 Ag 2.84, 4 Zn 2.89
4 Zn 0.0000 0.0000 0.0000  8 Pt 2.70, 4 Zn 2.89
5 Pt 0.5000 0.5000 0.1616  8 Zn 2.67-2.70, 4 Pt 2.89
6 Pt 0.5000 0.5000 0.8384  8 Zn 2.67-2.70, 4 Pt 2.89

***

Entry 9:
The following is a PBE calculation of crystalline ZnAg2Pt2 at its relaxed geometry, from Alexandria.

Output
The value obtained for the formation energy from the elements is -0.067 eV/atom. As for the volume: 178 Å³/cell. The polymorph energy (0 for the lowest one) comes out at 0.0 meV per atom. The uncorrected energy comes out at -3.88 eV/atom.

a = 6.4602 Å, b = 6.4602 Å, c = 4.2540 Å
α = 90.00°, β = 90.00°, γ = 90.00°
Closest atoms and distances in Å follow each position.
Element x y z (fractional)
1 Pt 0.8579 0.6421 0.0000  2 Zn 2.49, 1 Pt 2.60, 2 Ag 2.77
2 Zn 0.0000 0.0000 0.0000  4 Pt 2.49
3 Pt 0.1421 0.3579 0.0000  2 Zn 2.49, 1 Pt 2.60, 2 Ag 2.77
4 Pt 0.6421 0.1421 0.0000  2 Zn 2.49, 1 Pt 2.60, 2 Ag 2.77
5 Ag 0.6636 0.8364 0.5000  6 Pt 2.77-2.91, 1 Ag 2.99
6 Ag 0.1636 0.6636 0.5000  6 Pt 2.77-2.91, 1 Ag 2.99
7 Zn 0.5000 0.5000 0.0000  4 Pt 2.49
8 Ag 0.8364 0.3364 0.5000  6 Pt 2.77-2.91, 1 Ag 2.99
9 Ag 0.3364 0.1636 0.5000  6 Pt 2.77-2.91, 1 Ag 2.99
10 Pt 0.3579 0.8579 0.0000  2 Zn 2.49, 1 Pt 2.60, 2 Ag 2.77

***

Entry 10:
The following is a PBE calculation of crystalline Zn2AgPt2 at its relaxed geometry, from Alexandria.

Output
The value obtained for the formation energy from the elements is -0.365 eV/atom. As for the volume: 158 Å³/cell. The polymorph energy (0 for the lowest one) comes out at 6.5 meV per atom. The uncorrected energy comes out at -3.86 eV/atom.

a = 7.4124 Å, b = 7.4124 Å, c = 2.8760 Å
α = 90.00°, β = 90.00°, γ = 90.00°
Closest atoms and distances in Å follow each position.
Element x y z (fractional)
1 Pt 0.3416 0.1584 0.5000  6 Zn 2.57-2.63, 2 Pt 2.88
2 Ag 0.0000 0.0000 0.0000  4 Zn 2.87, 2 Ag 2.88, 8 Pt 3.14
3 Zn 0.1382 0.3618 0.0000  6 Pt 2.57-2.63, 2 Ag 2.87, 2 Zn 2.88
4 Pt 0.8416 0.3416 0.5000  6 Zn 2.57-2.63, 2 Pt 2.88
5 Pt 0.6584 0.8416 0.5000  6 Zn 2.57-2.63, 2 Pt 2.88
6 Zn 0.6382 0.1382 0.0000  6 Pt 2.57-2.63, 2 Ag 2.87, 2 Zn 2.88
7 Zn 0.8618 0.6382 0.0000  6 Pt 2.57-2.63, 2 Ag 2.87, 2 Zn 2.88
8 Ag 0.5000 0.5000 0.0000  4 Zn 2.87, 2 Ag 2.88, 8 Pt 3.14
9 Pt 0.1584 0.6584 0.5000  6 Zn 2.57-2.63, 2 Pt 2.88
10 Zn 0.3618 0.8618 0.0000  6 Pt 2.57-2.63, 2 Ag 2.87, 2 Zn 2.88